No. 1
## KU2Cu2S6 (GGA-PBE)

Data for a relaxed structure of KU2Cu2S6.

```
KU2Cu2S6
1.0
7.084 0.000 0.000
3.539 6.350 0.000
3.444 2.061 6.195
K U Cu S
1 2 2 6
direct
0.000 0.000 0.000
0.328 0.329 0.013
0.672 0.671 0.987
0.447 0.692 0.568
0.553 0.308 0.432
0.092 0.687 0.762
0.311 0.543 0.239
0.460 0.082 0.764
0.540 0.918 0.236
0.689 0.457 0.761
0.908 0.313 0.238
```

Electronic total energy, eV per atom: -6.182
Symmetry: P-1 (2)

=====

No. 2
## K2UCuS4 (GGA-PBE)

Data for a relaxed structure of K2UCuS4.

```
K2UCuS4
1.0
-3.611 3.611 4.330
3.611 -3.611 4.330
3.611 3.611 -4.330
K U Cu S
2 1 1 4
direct
0.000 0.000 0.000
0.750 0.250 0.500
0.250 0.750 0.500
0.500 0.500 0.000
0.221 0.633 0.075
0.367 0.443 0.588
0.557 0.145 0.925
0.855 0.779 0.412
```

Electronic total energy, eV per atom: -5.179
Symmetry: I-4 (82)

=====

No. 3
## KUCuS5 (GGA-PBE)

Data for a relaxed structure of KUCuS5.

```
KUCuS5
1.0
3.892 -5.687 0.000
3.892 5.687 0.000
-3.206 0.000 9.386
K U Cu S
2 2 2 10
direct
0.172 0.828 0.750
0.828 0.172 0.250
0.500 0.500 0.000
0.500 0.500 0.500
0.176 0.824 0.250
0.824 0.176 0.750
0.113 0.227 0.928
0.219 0.637 0.410
0.227 0.113 0.428
0.363 0.781 0.090
0.444 0.556 0.750
0.556 0.444 0.250
0.637 0.219 0.910
0.773 0.887 0.572
0.781 0.363 0.590
0.887 0.773 0.072
```

Electronic total energy, eV per atom: -5.336
Symmetry: C2/c (15)

=====

No. 4
## K2U3CuS8 (GGA-PBE)

Data for a relaxed structure of K2U3CuS8.

```
K2U3CuS8
1.0
3.968 2.291 7.813
-3.968 2.291 7.813
0.000 -4.582 7.813
K U Cu S
2 3 1 8
direct
0.000 0.000 0.000
0.363 0.363 0.363
0.362 0.362 0.863
0.362 0.863 0.362
0.863 0.362 0.362
0.806 0.806 0.806
0.107 0.107 0.559
0.107 0.559 0.107
0.133 0.133 0.133
0.135 0.633 0.633
0.559 0.107 0.107
0.589 0.589 0.589
0.633 0.135 0.633
0.633 0.633 0.135
```

Electronic total energy, eV per atom: -6.462
Symmetry: R3m (160)

=====

No. 5
## K3UCu2S6 (GGA-PBE)

Data for a relaxed structure of K3UCu2S6.

```
K3UCu2S6
1.0
3.087 -7.010 0.000
3.087 7.010 0.000
-2.396 0.000 7.076
K U Cu S
3 1 2 6
direct
0.000 0.000 0.000
0.321 0.679 0.000
0.679 0.321 0.000
0.500 0.500 0.500
0.095 0.905 0.500
0.905 0.095 0.500
0.092 0.364 0.322
0.280 0.280 0.736
0.364 0.092 0.322
0.636 0.908 0.678
0.720 0.720 0.264
0.908 0.636 0.678
```

Electronic total energy, eV per atom: -4.874
Symmetry: C2/m (12)

=====

No. 6
## KUCu2S6 (GGA-PBE)

Data for a relaxed structure of KUCu2S6.

```
KUCu2S6
1.0
6.132 -6.539 0.000
6.132 6.539 0.000
-2.890 0.000 6.794
K U Cu S
2 2 4 12
direct
0.071 0.929 0.750
0.929 0.071 0.250
0.259 0.741 0.250
0.741 0.259 0.750
0.253 0.415 0.876
0.415 0.253 0.376
0.585 0.747 0.624
0.747 0.585 0.124
0.020 0.266 0.737
0.193 0.658 0.891
0.266 0.020 0.237
0.342 0.807 0.609
0.373 0.443 0.206
0.443 0.373 0.706
0.557 0.627 0.294
0.627 0.557 0.794
0.658 0.193 0.391
0.734 0.980 0.763
0.807 0.342 0.109
0.980 0.734 0.263
```

Electronic total energy, eV per atom: -5.146
Symmetry: C2/c (15)

=====

Calculated raw formation energy in order - -1033; -918; -696; -1236; -912; -611 meV/atom